## P
A plane-wave DFT calculation with GGA-PBE was carried out for a relaxed structure of Zn2Fe2Co15.

Properties
For the calculated density, the calculation gives 8.2 g cm⁻³.

POSCAR file:
```
Zn2Fe2Co15
1.0
-3.298 3.450 3.927
-4.763 1.308 -3.715
-3.917 -4.355 1.972
Co Zn Fe
15 2 2
Direct
0.000 0.000 0.500
0.500 0.000 0.000
0.000 0.700 0.300
0.353 0.353 0.843
0.700 0.000 0.300
0.000 0.500 0.000
0.157 0.647 0.647
0.000 0.300 0.700
0.300 0.000 0.700
0.700 0.300 0.000
0.647 0.157 0.647
0.843 0.353 0.353
0.647 0.647 0.157
0.300 0.700 0.000
0.353 0.843 0.353
0.343 0.343 0.343
0.657 0.657 0.657
0.099 0.099 0.099
0.901 0.901 0.901
```

## Q
A plane-wave DFT calculation with GGA-PBE was carried out for a relaxed structure of Zn2Fe2Co15.

Properties
For the calculated density, the calculation gives 8.2 g cm⁻³.

POSCAR file:
```
Zn2Fe2Co15
1.0
6.164 -0.014 -0.012
0.786 6.113 -0.012
0.786 0.690 6.074
Co Zn Fe
15 2 2
Direct
0.704 0.000 0.296
0.704 0.296 0.000
0.296 0.000 0.704
0.360 0.842 0.360
0.000 0.296 0.704
0.640 0.158 0.640
0.158 0.640 0.640
0.500 0.000 0.000
0.000 0.000 0.500
0.296 0.704 0.000
0.360 0.360 0.842
0.000 0.704 0.296
0.842 0.360 0.360
0.000 0.500 0.000
0.640 0.640 0.158
0.890 0.890 0.890
0.110 0.110 0.110
0.373 0.373 0.373
0.627 0.627 0.627
```

Least stable: Q